# Ta2OsF2 | Alexandria | PBE-GGA | relaxed
data_Ta2OsF2
_chemical_formula_sum 'Ta4 Os2 F4'
_cell_length_a 3.1790
_cell_length_b 3.1790
_cell_length_c 13.1168
_cell_angle_alpha 90.00
_cell_angle_beta 90.00
_cell_angle_gamma 90.00
_space_group_name_H-M_alt 'I 4/m m m'
_space_group_IT_number 139
_space_group_name_Hall '-I 4 2'
loop_
_atom_site_label
_atom_site_type_symbol
_atom_site_fract_x
_atom_site_fract_y
_atom_site_fract_z
Ta1 Ta 0.0000 0.0000 0.1217
Os1 Os 0.0000 0.0000 0.5000
F1 F 0.0000 0.5000 0.2500
# N(E_F)	0.837	states/eV per atom
# formation energy from raw total energies	-1.2443	eV per atom

***

# PrHo6Tm3 | Alexandria | PBE-GGA | relaxed
data_PrHo6Tm3
_chemical_formula_sum 'Pr4 Ho24 Tm12'
_cell_length_a 10.6719
_cell_length_b 19.1481
_cell_length_c 6.2014
_cell_angle_alpha 90.00
_cell_angle_beta 90.00
_cell_angle_gamma 90.00
_space_group_name_H-M_alt 'C m c 21'
_space_group_IT_number 36
loop_
_space_group_symop_operation_xyz
'x,y,z'
'-x,-y,z+1/2'
'-x,y,z'
'x,-y,z+1/2'
'x+1/2,y+1/2,z'
'-x+1/2,-y+1/2,z+1/2'
'-x+1/2,y+1/2,z'
'x+1/2,-y+1/2,z+1/2'
loop_
_atom_site_label
_atom_site_type_symbol
_atom_site_fract_x
_atom_site_fract_y
_atom_site_fract_z
Pr1 Pr 0.0000 0.2118 0.0000
Ho1 Ho 0.0000 0.0497 0.2842
Ho2 Ho 0.0000 0.3108 0.5608
Ho3 Ho 0.1696 0.4565 0.6977
Ho4 Ho 0.2291 0.2108 0.3439
Tm1 Tm 0.0000 0.3862 0.0955
Tm2 Tm 0.1835 0.1069 0.7512
# energy of formation	1.51	eV/f.u.
# polymorph energy (0 for the lowest one)	0.0	kJ/mol of atoms
# N(E_F)	1.213	states/eV per atom

***

# CaPr6Sm2Y3 | Alexandria | PBE-GGA | relaxed
data_CaPr6Sm2Y3
_chemical_formula_sum 'Ca2 Pr12 Sm4 Y6'
_cell_length_a 6.3810
_cell_length_b 11.0528
_cell_length_c 12.0708
_cell_angle_alpha 90.00
_cell_angle_beta 100.10
_cell_angle_gamma 90.00
_space_group_name_H-M_alt 'C 1 2/m 1'
_space_group_IT_number 12
loop_
_space_group_symop_operation_xyz
'x,y,z'
'-x,-y,-z'
'-x,y,-z'
'x,-y,z'
'x+1/2,y+1/2,z'
'-x+1/2,-y+1/2,-z'
'-x+1/2,y+1/2,-z'
'x+1/2,-y+1/2,z'
loop_
_atom_site_label
_atom_site_type_symbol
_atom_site_fract_x
_atom_site_fract_y
_atom_site_fract_z
Ca1 Ca 0.0000 0.0000 0.0000
Pr1 Pr 0.2455 0.3304 0.7461
Pr2 Pr 0.2461 0.5000 0.2546
Sm1 Sm 0.0000 0.3331 0.0000
Y1 Y 0.0000 0.1663 0.5000
Y2 Y 0.0000 0.5000 0.5000
# energy of formation	0.26	eV/f.u.
# N(E_F)	1.095	states/eV per atom

***

# YAlCuNi | Alexandria | PBE-GGA | relaxed
data_YAlCuNi
_chemical_formula_sum 'Y2 Al2 Cu2 Ni2'
_cell_length_a 7.3186
_cell_length_b 4.2166
_cell_length_c 5.1377
_cell_angle_alpha 90.00
_cell_angle_beta 118.29
_cell_angle_gamma 90.00
_space_group_name_H-M_alt 'C 1 m 1'
_space_group_IT_number 8
loop_
_space_group_symop_operation_xyz
'x,y,z'
'x,-y,z'
'x+1/2,y+1/2,z'
'x+1/2,-y+1/2,z'
loop_
_atom_site_label
_atom_site_type_symbol
_atom_site_fract_x
_atom_site_fract_y
_atom_site_fract_z
Y1 Y 0.0000 0.0000 0.0000
Al1 Al 0.4911 0.0000 0.4737
Cu1 Cu 0.2051 0.0000 0.6156
Ni1 Ni 0.2969 0.5000 0.3915
# energy of formation	-1.84	eV/f.u.
# N(E_F)	0.686	states/eV per atom

***

# KZnSe2 | Alexandria | PBE-GGA | relaxed
data_KZnSe2
_chemical_formula_sum 'K1 Zn1 Se2'
_cell_length_a 2.9913
_cell_length_b 2.9913
_cell_length_c 11.3803
_cell_angle_alpha 90.00
_cell_angle_beta 90.00
_cell_angle_gamma 90.00
_space_group_name_H-M_alt 'P 4 m m'
_space_group_IT_number 99
loop_
_space_group_symop_operation_xyz
'x,y,z'
'-y,x,z'
'-x,-y,z'
'y,-x,z'
'-x,y,z'
'y,x,z'
'x,-y,z'
'-y,-x,z'
loop_
_atom_site_label
_atom_site_type_symbol
_atom_site_fract_x
_atom_site_fract_y
_atom_site_fract_z
K1 K 0.0000 0.0000 0.0000
Zn1 Zn 0.5000 0.5000 0.7529
Se1 Se 0.0000 0.0000 0.5745
Se2 Se 0.5000 0.5000 0.2168
# N(E_F)	0.343	states/eV per atom
# formation energy from raw total energies	0.0360	eV per atom

***

# AcTb4Tm6 | Alexandria | PBE-GGA | relaxed
data_AcTb4Tm6
_chemical_formula_sum 'Ac2 Tb8 Tm12'
_cell_length_a 7.9063
_cell_length_b 7.9063
_cell_length_c 12.4925
_cell_angle_alpha 90.00
_cell_angle_beta 90.00
_cell_angle_gamma 90.00
_space_group_name_H-M_alt 'I -4 2 m'
_space_group_IT_number 121
_space_group_name_Hall 'I -4 2'
loop_
_atom_site_label
_atom_site_type_symbol
_atom_site_fract_x
_atom_site_fract_y
_atom_site_fract_z
Ac1 Ac 0.0000 0.0000 0.0000
Tb1 Tb 0.1642 0.1642 0.4286
Tm1 Tm 0.0000 0.5000 0.0000
Tm2 Tm 0.2267 0.2267 0.6910
# energy of formation	4.93	eV/f.u.
# polymorph energy (0 for the lowest one)	30.3	kJ/mol of atoms
# N(E_F)	1.733	states/eV per atom

***

# KLa2Mn | Alexandria | PBE-GGA | relaxed
data_KLa2Mn
_chemical_formula_sum 'K2 La4 Mn2'
_cell_length_a 7.5570
_cell_length_b 4.1925
_cell_length_c 9.7059
_cell_angle_alpha 90.00
_cell_angle_beta 104.81
_cell_angle_gamma 90.00
_space_group_name_H-M_alt 'C 1 m 1'
_space_group_IT_number 8
loop_
_space_group_symop_operation_xyz
'x,y,z'
'x,-y,z'
'x+1/2,y+1/2,z'
'x+1/2,-y+1/2,z'
loop_
_atom_site_label
_atom_site_type_symbol
_atom_site_fract_x
_atom_site_fract_y
_atom_site_fract_z
K1 K 0.0000 0.0000 0.0000
La1 La 0.0658 0.5000 0.6480
La2 La 0.2980 0.5000 0.3463
Mn1 Mn 0.1807 0.0000 0.4961
# energy of formation	1.55	eV/f.u.
# polymorph energy (0 for the lowest one)	11.5	kJ/mol of atoms
# N(E_F)	1.366	states/eV per atom

***

# YPuCrRu | Alexandria | PBE-GGA | relaxed
data_YPuCrRu
_chemical_formula_sum 'Y4 Pu4 Cr4 Ru4'
_cell_length_a 6.8476
_cell_length_b 6.8476
_cell_length_c 6.8476
_cell_angle_alpha 90.00
_cell_angle_beta 90.00
_cell_angle_gamma 90.00
_space_group_name_H-M_alt 'F -4 3 m'
_space_group_IT_number 216
_space_group_name_Hall 'F -4 2 3'
loop_
_atom_site_label
_atom_site_type_symbol
_atom_site_fract_x
_atom_site_fract_y
_atom_site_fract_z
Y1 Y 0.0000 0.0000 0.0000
Pu1 Pu 0.0000 0.0000 0.5000
Cr1 Cr 0.2500 0.2500 0.2500
Ru1 Ru 0.2500 0.2500 0.7500
# energy of formation	0.19	eV/f.u.
# N(E_F)	1.431	states/eV per atom